VASP calculation (PBEsol) on a relaxed structure of Na2TlInTe.

Computed properties:
Density   4.4 g/cm3
Total magnetic moment   0.000 μB per atom
Formation energy from raw total energies   1.0 eV/f.u.

Cell: 5.5828 5.5828 5.9666 Å, 90.00 90.00 90.00°
Closest atoms and distances in Å follow each position.
Fractional coordinates of all 5 atoms:
Na 0.0000 0.5000 0.0000  2 Tl 2.79
Na 0.5000 0.0000 0.0000  2 Tl 2.79
Tl 0.0000 0.0000 0.0000  4 Na 2.79, 2 Te 2.98
In 0.5000 0.5000 0.5000  4 Te 3.95, 8 Na 4.09
Te 0.0000 0.0000 0.5000  2 Tl 2.98

VASP calculation (PBEsol) on a relaxed structure of Sn2OsRhN.

Computed properties:
Density   11.5 g/cm3
Total magnetic moment   0.002 μB per atom
Formation energy from raw total energies   3.5 eV/f.u.

Cell: 4.5322 4.5322 3.8418 Å, 90.00 90.00 90.00°
Closest atoms and distances in Å follow each position.
Fractional coordinates of all 5 atoms:
Sn 0.0000 0.5000 0.0000  2 N 2.27
Sn 0.5000 0.0000 0.0000  2 N 2.27
Os 0.0000 0.0000 0.5000  8 Sn 2.97, 4 Rh 3.20
Rh 0.5000 0.5000 0.5000  2 N 1.92
N 0.5000 0.5000 0.0000  2 Rh 1.92